No. 1
Below is an optimized crystal structure of Pr4Hg3Ge, with properties calculated at the PBE-GGA level.

**Magnetization**: 0.1 μB/cell
**E**: -3.610 eV per atom

Cell lengths 9.372, 9.372, 9.372 Å; angles 33.57, 33.57, 33.57 degrees
Fractional coordinates of all 8 atoms:
Pr 0.118 0.118 0.118
Pr 0.370 0.370 0.370
Pr 0.630 0.630 0.630
Pr 0.882 0.882 0.882
Hg 0.241 0.241 0.241
Hg 0.500 0.500 0.500
Hg 0.759 0.759 0.759
Ge 0.000 0.000 0.000



No. 2
Below is an optimized crystal structure of Pr8Hg2Ge, with properties calculated at the PBE-GGA level.

**Magnetization**: 0.0 μB/cell
**E**: -4.229 eV per atom

Cell lengths 10.034, 10.034, 7.073 Å; angles 107.64, 107.64, 30.93 degrees
Fractional coordinates of all 11 atoms:
Pr 0.012 0.012 0.274
Pr 0.204 0.204 0.835
Pr 0.338 0.338 0.504
Pr 0.409 0.409 0.037
Pr 0.591 0.591 0.963
Pr 0.662 0.662 0.496
Pr 0.796 0.796 0.165
Pr 0.988 0.988 0.726
Hg 0.171 0.171 0.240
Hg 0.829 0.829 0.760
Ge 0.500 0.500 0.500



No. 3
Below is an optimized crystal structure of PrHgGe4, with properties calculated at the PBE-GGA level.

**Magnetization**: 0.0 μB/cell
**E**: -4.127 eV per atom

Cell lengths 5.698, 5.698, 5.698 Å; angles 60.00, 60.00, 60.00 degrees
Fractional coordinates of all 6 atoms:
Pr 0.000 0.000 0.000
Hg 0.250 0.250 0.250
Ge 0.122 0.626 0.626
Ge 0.626 0.122 0.626
Ge 0.626 0.626 0.122
Ge 0.626 0.626 0.626



No. 4
Below is an optimized crystal structure of Pr2HgGe, with properties calculated at the PBE-GGA level.

**Magnetization**: 0.0 μB/cell
**E**: -4.190 eV per atom

Cell lengths 5.277, 5.277, 3.902 Å; angles 90.00, 90.00, 90.00 degrees
Fractional coordinates of all 4 atoms:
Pr 0.000 0.500 0.000
Pr 0.500 0.000 0.000
Hg 0.000 0.000 0.500
Ge 0.500 0.500 0.500



No. 5
Below is an optimized crystal structure of Pr4Hg5Ge2, with properties calculated at the PBE-GGA level.

**Magnetization**: 0.0 μB/cell
**E**: -3.224 eV per atom

Cell lengths 7.827, 4.144, 9.263 Å; angles 90.00, 93.78, 90.00 degrees
Fractional coordinates of all 11 atoms:
Pr 0.196 0.000 0.354
Pr 0.235 0.000 0.921
Pr 0.765 0.000 0.079
Pr 0.804 0.000 0.646
Hg 0.150 0.500 0.630
Hg 0.453 0.500 0.167
Hg 0.500 0.500 0.500
Hg 0.547 0.500 0.833
Hg 0.850 0.500 0.370
Ge 0.068 0.500 0.127
Ge 0.932 0.500 0.873



No. 6
Below is an optimized crystal structure of Pr8HgGe5, with properties calculated at the PBE-GGA level.

**Magnetization**: 0.0 μB/cell
**E**: -5.113 eV per atom

Cell lengths 8.047, 8.047, 8.047 Å; angles 109.53, 109.53, 109.34 degrees
Fractional coordinates of all 14 atoms:
Pr 0.008 0.615 0.740
Pr 0.244 0.503 0.117
Pr 0.385 0.125 0.393
Pr 0.386 0.127 0.883
Pr 0.497 0.614 0.741
Pr 0.732 0.992 0.607
Pr 0.873 0.756 0.259
Pr 0.875 0.268 0.260
Hg 0.000 0.000 0.000
Ge 0.123 0.244 0.624
Ge 0.250 0.750 0.500
Ge 0.501 0.877 0.121
Ge 0.620 0.499 0.376
Ge 0.756 0.380 0.879



No. 7
Below is an optimized crystal structure of Pr2HgGe, with properties calculated at the PBE-GGA level.

**Magnetization**: 0.0 μB/cell
**E**: -4.220 eV per atom

Cell lengths 6.256, 4.396, 8.750 Å; angles 90.00, 109.13, 90.00 degrees
Fractional coordinates of all 8 atoms:
Pr 0.200 0.250 0.424
Pr 0.280 0.750 0.063
Pr 0.720 0.250 0.937
Pr 0.800 0.750 0.576
Hg 0.374 0.750 0.709
Hg 0.626 0.250 0.291
Ge 0.116 0.250 0.791
Ge 0.884 0.750 0.209



No. 8
Below is an optimized crystal structure of Pr2Hg3Ge, with properties calculated at the PBE-GGA level.

**Magnetization**: 0.0 μB/cell
**E**: -2.983 eV per atom

Cell lengths 9.707, 9.224, 6.154 Å; angles 75.34, 66.83, 37.83 degrees
Fractional coordinates of all 12 atoms:
Pr 0.243 0.757 0.757
Pr 0.250 0.250 0.250
Pr 0.750 0.750 0.750
Pr 0.757 0.243 0.243
Hg 0.169 0.169 0.831
Hg 0.172 0.659 0.341
Hg 0.341 0.828 0.172
Hg 0.659 0.172 0.828
Hg 0.828 0.341 0.659
Hg 0.831 0.831 0.169
Ge 0.334 0.334 0.666
Ge 0.666 0.666 0.334



No. 9
Below is an optimized crystal structure of Pr2HgGe2, with properties calculated at the PBE-GGA level.

**Magnetization**: 0.0 μB/cell
**E**: -4.520 eV per atom

Cell lengths 7.630, 7.630, 8.675 Å; angles 90.00, 90.00, 90.00 degrees
Fractional coordinates of all 20 atoms:
Pr 0.181 0.319 0.000
Pr 0.181 0.319 0.500
Pr 0.319 0.819 0.000
Pr 0.319 0.819 0.500
Pr 0.681 0.181 0.000
Pr 0.681 0.181 0.500
Pr 0.819 0.681 0.000
Pr 0.819 0.681 0.500
Hg 0.000 0.000 0.250
Hg 0.000 0.000 0.750
Hg 0.500 0.500 0.250
Hg 0.500 0.500 0.750
Ge 0.118 0.618 0.250
Ge 0.118 0.618 0.750
Ge 0.382 0.118 0.250
Ge 0.382 0.118 0.750
Ge 0.618 0.882 0.250
Ge 0.618 0.882 0.750
Ge 0.882 0.382 0.250
Ge 0.882 0.382 0.750



No. 10
Below is an optimized crystal structure of Pr2HgGe4Pt3, with properties calculated at the PBE-GGA level.

**Magnetization**: 0.0 μB/cell
**E**: -5.418 eV per atom

Cell lengths 4.427, 4.427, 10.367 Å; angles 90.00, 90.00, 90.00 degrees
Fractional coordinates of all 10 atoms:
Pr 0.000 0.500 0.244
Pr 0.500 0.000 0.756
Hg 0.000 0.000 0.500
Ge 0.000 0.000 0.000
Ge 0.000 0.500 0.646
Ge 0.500 0.000 0.354
Ge 0.500 0.500 0.000
Pt 0.000 0.500 0.883
Pt 0.500 0.000 0.117
Pt 0.500 0.500 0.500



No. 11
Below is an optimized crystal structure of PrScHgGe, with properties calculated at the PBE-GGA level.

**Magnetization**: 0.0 μB/cell
**E**: -4.504 eV per atom

Cell lengths 5.136, 5.136, 5.136 Å; angles 60.00, 60.00, 60.00 degrees
Fractional coordinates of all 4 atoms:
Pr 0.000 0.000 0.000
Sc 0.500 0.500 0.500
Hg 0.750 0.750 0.750
Ge 0.250 0.250 0.250



No. 12
Below is an optimized crystal structure of Pr4HgGeSe2, with properties calculated at the PBE-GGA level.

**Raw formation energy**: -1.24 eV/atom
**Magnetization**: 0.0 μB/cell

Cell lengths 7.526, 7.526, 7.526 Å; angles 131.78, 131.78, 70.57 degrees
Fractional coordinates of all 8 atoms:
Pr 0.000 0.500 0.500
Pr 0.241 0.241 0.000
Pr 0.500 0.000 0.500
Pr 0.759 0.759 0.000
Hg 0.500 0.500 0.000
Ge 0.750 0.250 0.500
Se 0.000 0.000 0.000
Se 0.250 0.750 0.500